## NdHIBr (PBE-GGA)

Data for a relaxed structure of NdHIBr.

Density of states at the Fermi level ... 0.0 states/eV per cell
Crystal system ... monoclinic
Space group ... No. 8
Spin magnetization ... 0.00 μB per cell
Final energy ... -4.22 eV per atom

Geometry as POSCAR:
```
NdHIBr
1.0
-0.283 4.055 0.333
-2.442 -2.009 -2.576
-4.362 -2.862 6.398
H Nd Br I
1 1 1 1
direct
0.503 0.616 0.119
0.833 0.281 0.114
0.006 0.866 0.872
0.350 0.041 0.391
```